# Ta2Zn

Ta2Zn after structural relaxation (PBEsol, Alexandria).

The structure belongs to space group Fm-3m (No. 225); the cell edges are 6.007, 6.007 and 6.007 Å and the angles 90.00°, 90.00° and 90.00°. Symmetry generates all atoms from Ta at (0.250, 0.250, 0.250) and Zn at (0.000, 0.000, 0.000).

As for the final energy: -8.245 eV per atom. The calculation puts the calculated density at 13.095 g/cm3. The calculation puts the calculated volume at 18.06 Å³/atom. The formation enthalpy at 0 K comes out at 0.650 eV per atom. The magnetic moment is 0.0 μB per cell.